{
  "formula": "PmBiPbAu",
  "functional": "PBE-GGA",
  "state": "optimized geometry",
  "cell": [[5.415, 0.000, 0.000], [2.708, 4.690, 0.000], [2.708, 1.563, 4.421]],
  "species": ["Pb", "Au", "Bi", "Pm"],
  "frac_coords": [[0.250, 0.250, 0.250], [0.000, 0.000, 0.000], [0.500, 0.500, 0.500], [0.750, 0.750, 0.750]],
  "density_g_cm3": 11.21,
  "e_tot_ev_per_fu": -17.2
}

=====

{
  "formula": "Bi2PtPbAu",
  "functional": "PBE-GGA",
  "state": "optimized geometry",
  "cell": [[-1.016, 4.410, -2.805], [-4.908, 0.175, 2.055], [1.947, 3.233, 4.378]],
  "species": ["Bi", "Bi", "Pt", "Pb", "Au"],
  "frac_coords": [[0.000, 0.500, 0.886], [0.500, 0.000, 0.886], [0.000, 0.000, 0.041], [0.000, 0.000, 0.506], [0.500, 0.500, 0.681]],
  "density_g_cm3": 10.31,
  "e_tot_ev_per_fu": -20.4
}

=====

{
  "formula": "PuBiPbAu",
  "functional": "PBE-GGA",
  "state": "optimized geometry",
  "cell": [[-3.825, 0.891, -3.682], [1.063, -0.757, -5.223], [-2.224, -4.140, -2.627]],
  "species": ["Pb", "Au", "Bi", "Pu"],
  "frac_coords": [[0.750, 0.750, 0.750], [0.500, 0.500, 0.500], [0.000, 0.000, 0.000], [0.250, 0.250, 0.250]],
  "density_g_cm3": 12.90,
  "polymorph_energy_ev_per_fu": 0.32,
  "e_tot_ev_per_fu": -25.9
}

=====

{
  "formula": "Pu4Bi2PbAu",
  "functional": "PBE-GGA",
  "state": "optimized geometry",
  "cell": [[-3.509, 3.987, 0.935], [-5.249, -0.740, -0.993], [-4.061, -1.850, 8.201]],
  "species": ["Pu", "Pu", "Pu", "Pu", "Bi", "Bi", "Pb", "Au"],
  "frac_coords": [[0.379, 0.379, 0.862], [0.872, 0.872, 0.384], [0.128, 0.128, 0.616], [0.621, 0.621, 0.138], [0.750, 0.750, 0.751], [0.250, 0.250, 0.249], [0.000, 0.000, 0.000], [0.500, 0.500, 0.500]],
  "density_g_cm3": 13.47,
  "e_tot_ev_per_fu": -74.1
}

=====

{
  "formula": "PuBiPbAu",
  "functional": "PBE-GGA",
  "state": "optimized geometry",
  "cell": [[-2.943, 3.423, -0.308], [-1.761, -1.147, 4.076], [3.294, 3.037, 2.278]],
  "species": ["Pu", "Bi", "Pb", "Au"],
  "frac_coords": [[0.000, 0.000, 0.000], [0.500, 0.500, 0.000], [0.500, 0.000, 0.500], [0.000, 0.500, 0.500]],
  "density_g_cm3": 13.64,
  "polymorph_energy_ev_per_fu": 0.00,
  "e_tot_ev_per_fu": -26.2
}

=====

{
  "formula": "Rb2Bi4PbAu3",
  "functional": "PBE-GGA",
  "state": "optimized geometry",
  "cell": [[5.192, 0.000, 0.000], [0.000, 5.192, 0.000], [0.000, 0.000, 11.986]],
  "species": ["Rb", "Rb", "Bi", "Bi", "Bi", "Bi", "Pb", "Au", "Au", "Au"],
  "frac_coords": [[0.500, 0.000, 0.251], [0.000, 0.500, 0.749], [0.500, 0.500, 0.000], [0.000, 0.000, 0.000], [0.500, 0.000, 0.641], [0.000, 0.500, 0.359], [0.500, 0.500, 0.500], [0.000, 0.000, 0.500], [0.500, 0.000, 0.882], [0.000, 0.500, 0.118]],
  "density_g_cm3": 9.28,
  "e_tot_ev_per_fu": -32.9
}

=====

{
  "formula": "Rb2Bi3Pb4Au",
  "functional": "PBE-GGA",
  "state": "optimized geometry",
  "cell": [[-5.152, 0.697, 1.387], [1.302, -0.681, 5.177], [2.091, 13.083, 1.195]],
  "species": ["Rb", "Rb", "Bi", "Bi", "Bi", "Pb", "Pb", "Pb", "Pb", "Au"],
  "frac_coords": [[0.500, 0.000, 0.267], [0.000, 0.500, 0.733], [0.000, 0.000, 0.500], [0.500, 0.000, 0.855], [0.000, 0.500, 0.145], [0.500, 0.500, 0.000], [0.000, 0.000, 0.000], [0.500, 0.000, 0.615], [0.000, 0.500, 0.385], [0.500, 0.500, 0.500]],
  "density_g_cm3": 7.86,
  "e_tot_ev_per_fu": -33.1
}

=====

{
  "formula": "Bi2SbPbAu4",
  "functional": "PBE-GGA",
  "state": "optimized geometry",
  "cell": [[5.914, 0.148, 0.000], [-0.495, 5.895, 0.000], [-2.709, -3.021, 5.892]],
  "species": ["Bi", "Bi", "Sb", "Pb", "Au", "Au", "Au", "Au"],
  "frac_coords": [[0.187, 0.687, 0.500], [0.687, 0.187, 0.500], [0.438, 0.438, 0.000], [0.937, 0.937, 0.000], [0.938, 0.437, 0.000], [0.437, 0.938, 0.000], [0.193, 0.193, 0.512], [0.681, 0.681, 0.488]],
  "density_g_cm3": 12.38,
  "e_tot_ev_per_fu": -29.0,
  "formation_energy_uncorrected_ev_per_atom": -0.03
}

=====

{
  "formula": "BiSbPbAu",
  "functional": "PBE-GGA",
  "state": "optimized geometry",
  "cell": [[5.372, 0.000, 0.000], [2.686, 4.652, 0.000], [2.686, 1.551, 4.386]],
  "species": ["Pb", "Sb", "Au", "Bi"],
  "frac_coords": [[0.250, 0.250, 0.250], [0.500, 0.500, 0.500], [0.000, 0.000, 0.000], [0.750, 0.750, 0.750]],
  "density_g_cm3": 11.13,
  "polymorph_energy_ev_per_fu": 0.48,
  "e_tot_ev_per_fu": -14.5,
  "formation_energy_uncorrected_ev_per_atom": 0.13
}

=====

{
  "formula": "BiSb2Pb2Au7",
  "functional": "PBE-GGA",
  "state": "optimized geometry",
  "cell": [[4.391, 0.099, -0.248], [0.105, 4.391, -0.248], [1.513, 1.511, 14.954]],
  "species": ["Bi", "Sb", "Sb", "Pb", "Pb", "Au", "Au", "Au", "Au", "Au", "Au", "Au"],
  "frac_coords": [[0.000, 0.000, 0.000], [0.556, 0.556, 0.742], [0.444, 0.444, 0.258], [0.893, 0.893, 0.388], [0.107, 0.107, 0.612], [0.500, 0.500, 0.000], [0.337, 0.337, 0.441], [0.663, 0.663, 0.559], [0.966, 0.471, 0.145], [0.471, 0.966, 0.145], [0.529, 0.034, 0.855], [0.034, 0.529, 0.855]],
  "density_g_cm3": 12.80,
  "e_tot_ev_per_fu": -42.4,
  "formation_energy_uncorrected_ev_per_atom": 0.01
}

=====

{
  "formula": "BiSbPb2Au4",
  "functional": "PBE-GGA",
  "state": "optimized geometry",
  "cell": [[-3.605, 1.103, 4.598], [-1.815, -5.483, -1.414], [6.708, -0.082, 2.087]],
  "species": ["Bi", "Sb", "Pb", "Pb", "Au", "Au", "Au", "Au"],
  "frac_coords": [[0.938, 0.938, 0.000], [0.438, 0.438, 0.000], [0.186, 0.686, 0.500], [0.686, 0.186, 0.500], [0.938, 0.438, 0.000], [0.438, 0.938, 0.000], [0.193, 0.193, 0.512], [0.680, 0.680, 0.488]],
  "density_g_cm3": 12.41,
  "e_tot_ev_per_fu": -28.8,
  "formation_energy_uncorrected_ev_per_atom": -0.03
}

=====

{
  "formula": "BiSbPbAu",
  "functional": "PBE-GGA",
  "state": "optimized geometry",
  "cell": [[-1.880, 2.617, 3.567], [-1.681, -4.415, -0.886], [4.051, -2.311, 3.831]],
  "species": ["Bi", "Sb", "Pb", "Au"],
  "frac_coords": [[0.333, 0.667, 0.803], [0.000, 0.000, 0.521], [0.667, 0.333, 0.227], [0.000, 0.000, 0.020]],
  "density_g_cm3": 10.11,
  "polymorph_energy_ev_per_fu": 0.00,
  "e_tot_ev_per_fu": -15.0,
  "formation_energy_uncorrected_ev_per_atom": 0.01
}

=====

Number 1: DOS(E_F) 0.664 states/eV per atom. Number 2: DOS(E_F) 0.517 states/eV per atom. Number 3: DOS(E_F) 3.448 states/eV per atom. Number 4: DOS(E_F) 4.750 states/eV per atom. Number 5: DOS(E_F) 2.947 states/eV per atom. Number 6: DOS(E_F) 0.543 states/eV per atom. Number 7: DOS(E_F) 0.343 states/eV per atom. Number 8: DOS(E_F) 0.453 states/eV per atom. Number 9: DOS(E_F) 0.894 states/eV per atom. Number 10: DOS(E_F) 0.363 states/eV per atom. Number 11: DOS(E_F) 0.461 states/eV per atom. Number 12: DOS(E_F) 0.437 states/eV per atom.